4
Lattice="3.551 0.000 0.000 0.000 4.842 0.000 0.000 0.000 5.466" Properties=species:S:1:pos:R:3 comment="PBEsol Ba2NiW, optimized geometry" ef_ev_per_fu=5.679 pbc="T T T"
Ba 0.000 0.000 0.000
Ba 1.776 0.000 2.733
Ni 0.000 2.421 2.733
W 1.776 2.421 0.000